Entry 1:
First-principles (GGA-PBE) data for TbY4Sc6 after structural relaxation, as listed in Alexandria via LeMat-Bulk.

The calculation puts the total energy at -65.3 eV for the cell shown. For the formation energy from the elements, the calculation gives 0.28 eV per atom. Its space group is No. 121.

Lattice parameters (Å, degrees): 9.0736 9.0736 9.0736 59.44 138.96 138.96
Fractional coordinates of all 11 atoms:
Sc: 0.5000 0.5000 0.0000
Y: 0.0000 0.0121 0.6281
Sc: 0.3418 0.5579 0.5579
Sc: 0.0000 0.7839 0.4421
Sc: 0.5000 0.0000 0.5000
Y: 0.3840 0.3719 0.3719
Tb: 0.0000 0.0000 0.0000
Y: 0.6160 0.9879 0.9879
Sc: 0.0000 0.4421 0.7839
Sc: 0.6582 0.2161 0.2161
Y: 0.0000 0.6281 0.0121



Entry 2:
First-principles (GGA-PBE) data for LiMgMn2 after structural relaxation, as listed in Alexandria via LeMat-Bulk.

The calculation puts the total energy at -20.0 eV for the cell shown. For the formation energy from the elements, the calculation gives 0.46 eV per atom. Its space group is No. 139.

Lattice parameters (Å, degrees): 5.0306 5.0306 5.0306 140.78 140.78 56.67
Last column: magnetic moment on the atom in μB.
Fractional coordinates of all 4 atoms:
Mn: 0.5000 0.5000 0.0000  0.20
Mg: 0.7500 0.2500 0.5000  -0.01
Li: 0.2500 0.7500 0.5000  -0.01
Mn: 0.0000 0.0000 0.0000  0.20



Entry 3:
First-principles (GGA-PBE) data for Th6MnSe5 after structural relaxation, as listed in Alexandria via LeMat-Bulk.

For the formation energy without anion corrections, the calculation gives -1274 meV/atom. The calculation puts the total energy at -86.4 eV for the cell shown. Its space group is No. 12.

Lattice parameters (Å, degrees): 7.2790 8.4196 7.3039 107.12 99.91 124.47
Fractional coordinates of all 12 atoms:
Th: 0.8483 0.6202 0.6960
Se: 0.3194 0.8194 0.6387
Th: 0.1517 0.3798 0.3040
Th: 0.1522 0.9242 0.3040
Se: 0.6647 0.6647 0.3294
Th: 0.4769 0.2311 0.0000
Th: 0.8478 0.0758 0.6960
Mn: 0.0000 0.0000 0.0000
Se: 0.0000 0.5000 0.0000
Se: 0.6806 0.1806 0.3613
Th: 0.5231 0.7689 0.0000
Se: 0.3353 0.3353 0.6706